1.
A relaxed CoB3Ir crystal, computed with GGA-PBE.

M_tot: 1.66 μB per cell
Space-group type: Pm-3m

a b c (Å): 4.042 4.042 4.042
angles (deg): 90.00 90.00 90.00
Sites, in units of the cell vectors:
1 B 0.000 0.000 0.500
2 B 0.000 0.500 0.000
3 Co 0.500 0.500 0.500
4 Ir 0.000 0.000 0.000
5 B 0.500 0.000 0.000


2.
A relaxed CoB3Ir crystal, computed with GGA-PBE.

M_tot: 0.00 μB per cell
Space-group type: Pm-3m

a b c (Å): 3.701 3.701 3.701
angles (deg): 90.00 90.00 90.00
Sites, in units of the cell vectors:
1 B 0.000 0.500 0.000
2 B 0.000 0.000 0.500
3 Ir 0.500 0.500 0.500
4 B 0.500 0.000 0.000
5 Co 0.000 0.000 0.000


Which of them is the most stable, and which is the least stable? 2 and 1, in that order.


1.
A relaxed CoBIr3 crystal, computed with GGA-PBE.

M_tot: 3.24 μB per cell
Space-group type: Pm-3m

a b c (Å): 4.074 4.074 4.074
angles (deg): 90.00 90.00 90.00
Sites, in units of the cell vectors:
1 Ir 0.000 0.500 0.000
2 Ir 0.500 0.000 0.000
3 Co 0.500 0.500 0.500
4 Ir 0.000 0.000 0.500
5 B 0.000 0.000 0.000


2.
A relaxed CoBIr3 crystal, computed with GGA-PBE.

M_tot: 3.17 μB per cell
Space-group type: Pm-3m

a b c (Å): 4.429 4.429 4.429
angles (deg): 90.00 90.00 90.00
Sites, in units of the cell vectors:
1 Ir 0.000 0.000 0.500
2 Ir 0.000 0.500 0.000
3 Ir 0.500 0.000 0.000
4 Co 0.000 0.000 0.000
5 B 0.500 0.500 0.500


Which of them is the most stable, and which is the least stable? 1 and 2, in that order.


1.
A relaxed LiLaCo2B crystal, computed with GGA-PBE.

M_tot: 1.69 μB per cell
Space-group type: P4/mmm

a b c (Å): 4.726 4.905 4.726
angles (deg): 90.00 90.00 90.00
Sites, in units of the cell vectors:
1 Co 0.000 0.000 0.500
2 B 0.000 0.500 0.000
3 La 0.000 0.000 0.000
4 Li 0.500 0.500 0.500
5 Co 0.500 0.000 0.000


2.
A relaxed LiLaCo2B crystal, computed with GGA-PBE.

M_tot: 0.00 μB per cell
Space-group type: P4/mmm

a b c (Å): 4.031 4.031 4.258
angles (deg): 90.00 90.00 90.00
Sites, in units of the cell vectors:
1 La 0.500 0.500 0.500
2 Co 0.500 0.000 0.000
3 Co 0.000 0.500 0.000
4 B 0.000 0.000 0.000
5 Li 0.000 0.000 0.500


Which of them is the most stable, and which is the least stable? 2 and 1, in that order.